No. 1
This record from Alexandria via LeMat-Bulk describes an optimized crystal structure of ZrGe2Bi2. The functional is PBE.

Cell: 7.3935 7.3935 4.4790 Å, 90.00 90.00 90.00°
Element x y z (fractional)
Zr 0.0000 0.0000 0.0000
Zr 0.5000 0.5000 0.0000
Ge 0.1376 0.3624 0.0000
Ge 0.3624 0.8624 0.0000
Ge 0.6376 0.1376 0.0000
Ge 0.8624 0.6376 0.0000
Bi 0.1718 0.6718 0.5000
Bi 0.3282 0.1718 0.5000
Bi 0.6718 0.8282 0.5000
Bi 0.8282 0.3282 0.5000

Density = 8.9 g/cm³
Energy relative to the elements = 0.0339 eV per atom
Density of states at the Fermi level = 0.7851 states/eV per atom
Total magnetic moment = 0.00 μB/atom

No. 2
This record from Alexandria via LeMat-Bulk describes an optimized crystal structure of Zr2GeBi. The functional is PBE.

Cell: 6.3599 6.3599 12.9154 Å, 90.00 90.00 90.00°
Element x y z (fractional)
Zr 0.2079 0.2500 0.1250
Zr 0.2500 0.7079 0.3750
Zr 0.2500 0.7921 0.8750
Zr 0.2921 0.2500 0.6250
Zr 0.7079 0.7500 0.6250
Zr 0.7500 0.2079 0.8750
Zr 0.7500 0.2921 0.3750
Zr 0.7921 0.7500 0.1250
Ge 0.0000 0.0000 0.0000
Ge 0.0000 0.5000 0.2500
Ge 0.5000 0.0000 0.7500
Ge 0.5000 0.5000 0.5000
Bi 0.0000 0.0000 0.5000
Bi 0.0000 0.5000 0.7500
Bi 0.5000 0.0000 0.2500
Bi 0.5000 0.5000 0.0000

Density = 5.9 g/cm³
Energy relative to the elements = 0.2818 eV per atom
Density of states at the Fermi level = 0.8054 states/eV per atom
Total magnetic moment = 0.00 μB/atom
Energy above the lowest structure with this stoichiometry = 18.74 kcal/mol of atoms

No. 3
This record from Alexandria via LeMat-Bulk describes an optimized crystal structure of Bi2H3. The functional is PBE.

Cell: 10.8001 5.9172 12.0879 Å, 63.21 29.28 87.52°
Element x y z (fractional)
Bi 0.0944 0.9056 0.2956
Bi 0.5456 0.9544 0.3444
Bi 0.9056 0.0944 0.7044
Bi 0.9544 0.5456 0.1556
H 0.0113 0.0113 0.4887
H 0.1571 0.9918 0.5934
H 0.6566 0.9923 0.0929
H 0.7613 0.7613 0.2387
H 0.9918 0.1571 0.2577
H 0.9923 0.6566 0.2582

Density = 6.9 g/cm³
Density of states at the Fermi level = 0.2048 states/eV per atom
Total magnetic moment = 0.00 μB/atom
Electronic total energy = -3.173 eV per atom